[1]
# Al2GaB

A relaxed structure of Al2GaB (PBE-GGA, Alexandria via LeMat-Bulk).

Cell: 4.331 4.331 4.331 Å, 60.00 60.00 60.00°
Element x y z (fractional)
Al  0.250  0.250  0.250
Al  0.750  0.750  0.750
Ga  0.000  0.000  0.000
B  0.500  0.500  0.500

Values from the calculation:
**ΔH_f (0 K)**: 0.65 eV per atom
**Crystal system**: cubic
**Symmetry**: Fm-3m, No. 225
**Offset from the most stable computed form**: 18.5 kJ per mole of atoms

=====

[2]
# CsBRhCl2

A relaxed structure of CsBRhCl2 (PBE-GGA, Alexandria via LeMat-Bulk).

Cell: 5.361 5.361 4.074 Å, 90.00 90.00 90.00°
Element x y z (fractional)
Cs  0.000  0.000  0.000
B  0.500  0.500  0.000
Rh  0.500  0.500  0.500
Cl  0.000  0.500  0.500
Cl  0.500  0.000  0.500

Values from the calculation:
**Crystal system**: tetragonal
**Raw formation energy**: -8.56 kcal/mol of atoms
**Symmetry**: P4/mmm, No. 123

=====

[3]
# NdDy5TmTh2

A relaxed structure of NdDy5TmTh2 (PBE-GGA, Alexandria via LeMat-Bulk).

Cell: 9.865 9.865 9.865 Å, 126.59 126.59 78.93°
Element x y z (fractional)
Nd  0.250  0.250  0.000
Nd  0.750  0.750  0.000
Dy  0.000  0.000  0.000
Dy  0.071  0.571  0.916
Dy  0.154  0.071  0.500
Dy  0.346  0.846  0.916
Dy  0.429  0.346  0.500
Dy  0.500  0.500  0.000
Dy  0.571  0.654  0.500
Dy  0.654  0.154  0.084
Dy  0.846  0.929  0.500
Dy  0.929  0.429  0.084
Tm  0.250  0.750  0.500
Tm  0.750  0.250  0.500
Th  0.119  0.381  0.500
Th  0.381  0.881  0.262
Th  0.619  0.119  0.738
Th  0.881  0.619  0.500

Values from the calculation:
**ΔH_f (0 K)**: 0.34 eV per atom
**Crystal system**: tetragonal
**Symmetry**: I4/mcm, No. 140

=====

[4]
# Ce3Nd4YS8

A relaxed structure of Ce3Nd4YS8 (PBE-GGA, Alexandria via LeMat-Bulk).

Cell: 8.065 8.065 8.065 Å, 60.05 60.05 60.05°
Element x y z (fractional)
Ce  0.000  0.500  0.500
Ce  0.500  0.000  0.500
Ce  0.500  0.500  0.000
Nd  0.000  0.000  0.500
Nd  0.000  0.500  0.000
Nd  0.500  0.000  0.000
Nd  0.500  0.500  0.500
Y  0.000  0.000  0.000
S  0.245  0.245  0.752
S  0.245  0.752  0.245
S  0.248  0.755  0.755
S  0.251  0.251  0.251
S  0.749  0.749  0.749
S  0.752  0.245  0.245
S  0.755  0.248  0.755
S  0.755  0.755  0.248

Values from the calculation:
**Crystal system**: trigonal
**Raw formation energy**: -46.89 kcal/mol of atoms
**Symmetry**: R-3m, No. 166

=====

[5]
# Ac6PmSn6

A relaxed structure of Ac6PmSn6 (PBE-GGA, Alexandria via LeMat-Bulk).

Cell: 8.104 8.104 9.396 Å, 90.00 90.00 120.00°
Element x y z (fractional)
Ac  0.000  0.500  0.245
Ac  0.000  0.500  0.755
Ac  0.500  0.000  0.245
Ac  0.500  0.000  0.755
Ac  0.500  0.500  0.245
Ac  0.500  0.500  0.755
Pm  0.000  0.000  0.500
Sn  0.000  0.000  0.162
Sn  0.000  0.000  0.838
Sn  0.333  0.667  0.000
Sn  0.333  0.667  0.500
Sn  0.667  0.333  0.000
Sn  0.667  0.333  0.500

Values from the calculation:
**ΔH_f (0 K)**: -0.33 eV per atom
**Crystal system**: hexagonal
**Symmetry**: P6/mmm, No. 191

=====

[6]
# Ho5Tc2Hg2

A relaxed structure of Ho5Tc2Hg2 (PBE-GGA, Alexandria via LeMat-Bulk).

Cell: 9.072 9.072 7.433 Å, 90.00 90.00 47.46°
Element x y z (fractional)
Ho  0.000  0.000  0.000
Ho  0.054  0.695  0.680
Ho  0.195  0.554  0.180
Ho  0.305  0.946  0.680
Ho  0.446  0.805  0.180
Ho  0.500  0.500  0.500
Ho  0.554  0.195  0.820
Ho  0.695  0.054  0.320
Ho  0.805  0.446  0.820
Ho  0.946  0.305  0.320
Tc  0.112  0.888  0.381
Tc  0.388  0.612  0.881
Tc  0.612  0.388  0.119
Tc  0.888  0.112  0.619
Hg  0.222  0.222  0.000
Hg  0.278  0.278  0.500
Hg  0.722  0.722  0.500
Hg  0.778  0.778  0.000

Values from the calculation:
**ΔH_f (0 K)**: -0.25 eV per atom
**Crystal system**: orthorhombic
**Symmetry**: Cmce, No. 64

=====

[7]
# YCo10Mo2

A relaxed structure of YCo10Mo2 (PBE-GGA, Alexandria via LeMat-Bulk).

Cell: 6.408 6.408 6.408 Å, 137.18 97.77 97.55°
Element x y z (fractional)
Y  0.000  0.000  0.000
Co  0.000  0.000  0.500
Co  0.000  0.500  0.000
Co  0.211  0.500  0.711
Co  0.220  0.720  0.500
Co  0.359  0.000  0.359
Co  0.500  0.000  0.000
Co  0.500  0.500  0.500
Co  0.641  0.000  0.641
Co  0.780  0.280  0.500
Co  0.789  0.500  0.289
Mo  0.358  0.358  0.000
Mo  0.642  0.642  0.000

Values from the calculation:
**ΔH_f (0 K)**: -0.03 eV per atom
**Crystal system**: orthorhombic
**Symmetry**: Immm, No. 71

=====

[8]
# AcGaAsO6

A relaxed structure of AcGaAsO6 (PBE-GGA, Alexandria via LeMat-Bulk).

Cell: 5.126 5.126 5.356 Å, 90.00 90.00 120.00°
Element x y z (fractional)
Ac  0.000  0.000  0.000
Ga  0.667  0.333  0.500
As  0.333  0.667  0.500
O  0.020  0.392  0.299
O  0.020  0.628  0.701
O  0.372  0.392  0.701
O  0.372  0.980  0.299
O  0.608  0.628  0.299
O  0.608  0.980  0.701

Values from the calculation:
**Crystal system**: trigonal
**Raw formation energy**: -44.55 kcal/mol of atoms
**Symmetry**: P312, No. 149

=====

[9]
# Nd2Th2Sb5

A relaxed structure of Nd2Th2Sb5 (PBE-GGA, Alexandria via LeMat-Bulk).

Cell: 8.996 8.996 8.408 Å, 90.00 90.00 55.47°
Element x y z (fractional)
Nd  0.154  0.846  0.844
Nd  0.346  0.654  0.344
Nd  0.654  0.346  0.656
Nd  0.846  0.154  0.156
Th  0.193  0.193  0.500
Th  0.307  0.307  0.000
Th  0.693  0.693  0.000
Th  0.807  0.807  0.500
Sb  0.000  0.000  0.500
Sb  0.013  0.705  0.152
Sb  0.205  0.513  0.652
Sb  0.295  0.987  0.152
Sb  0.487  0.795  0.652
Sb  0.500  0.500  0.000
Sb  0.513  0.205  0.348
Sb  0.705  0.013  0.848
Sb  0.795  0.487  0.348
Sb  0.987  0.295  0.848

Values from the calculation:
**Crystal system**: orthorhombic
**Raw formation energy**: -21.00 kcal/mol of atoms
**Symmetry**: Cmce, No. 64

=====

[10]
# Ce2P2H4Ir

A relaxed structure of Ce2P2H4Ir (PBE-GGA, Alexandria via LeMat-Bulk).

Cell: 5.717 5.717 5.717 Å, 122.17 122.17 86.28°
Element x y z (fractional)
Ce  0.250  0.750  0.500
Ce  0.750  0.250  0.500
P  0.209  0.209  0.000
P  0.791  0.791  0.000
H  0.282  0.282  0.565
H  0.282  0.718  0.000
H  0.718  0.282  0.000
H  0.718  0.718  0.435
Ir  0.500  0.500  0.000

Values from the calculation:
**Crystal system**: tetragonal
**Symmetry**: I4/mmm, No. 139

=====

[11]
# Al2NiPb

A relaxed structure of Al2NiPb (PBE-GGA, Alexandria via LeMat-Bulk).

Cell: 5.078 5.078 5.078 Å, 131.27 131.27 71.38°
Element x y z (fractional)
Al  0.000  0.000  0.000
Al  0.750  0.250  0.500
Ni  0.250  0.750  0.500
Pb  0.500  0.500  0.000

Values from the calculation:
**ΔH_f (0 K)**: 0.26 eV per atom
**Crystal system**: tetragonal
**Symmetry**: I-4m2, No. 119

=====

[12]
# Al2Zn2Au

A relaxed structure of Al2Zn2Au (PBE-GGA, Alexandria via LeMat-Bulk).

Cell: 7.194 7.194 7.194 Å, 151.03 151.03 41.43°
Element x y z (fractional)
Al  0.098  0.098  0.000
Al  0.902  0.902  0.000
Zn  0.250  0.750  0.500
Zn  0.750  0.250  0.500
Au  0.500  0.500  0.000

Values from the calculation:
**ΔH_f (0 K)**: 0.06 eV per atom
**Crystal system**: tetragonal
**Symmetry**: I4/mmm, No. 139
**Offset from the most stable computed form**: 8.3 kJ per mole of atoms

=====

[13]
# Zr3Os2

A relaxed structure of Zr3Os2 (PBE-GGA, Alexandria via LeMat-Bulk).

Cell: 3.282 3.282 17.394 Å, 90.00 90.00 90.00°
Element x y z (fractional)
Zr  0.000  0.000  0.000
Zr  0.000  0.000  0.190
Zr  0.000  0.000  0.379
Zr  0.000  0.000  0.621
Zr  0.000  0.000  0.810
Zr  0.500  0.500  0.500
Os  0.500  0.500  0.095
Os  0.500  0.500  0.285
Os  0.500  0.500  0.715
Os  0.500  0.500  0.905

Values from the calculation:
**ΔH_f (0 K)**: -0.42 eV per atom
**Crystal system**: tetragonal
**Symmetry**: P4/mmm, No. 123
**Offset from the most stable computed form**: 0.0 kJ per mole of atoms

=====

[14]
# CeHgGe

A relaxed structure of CeHgGe (PBE-GGA, Alexandria via LeMat-Bulk).

Cell: 4.496 4.496 4.262 Å, 90.00 90.00 120.00°
Element x y z (fractional)
Ce  0.000  0.000  0.000
Hg  0.667  0.333  0.416
Ge  0.333  0.667  0.609

Values from the calculation:
**ΔH_f (0 K)**: -0.43 eV per atom
**Crystal system**: trigonal
**Symmetry**: P3m1, No. 156

=====

[15]
# BeNb4B

A relaxed structure of BeNb4B (PBE-GGA, Alexandria via LeMat-Bulk).

Cell: 6.571 6.571 6.571 Å, 126.27 126.27 79.45°
Element x y z (fractional)
Be  0.000  0.000  0.000
Be  0.500  0.500  0.000
Nb  0.039  0.539  0.847
Nb  0.192  0.039  0.500
Nb  0.308  0.808  0.847
Nb  0.461  0.308  0.500
Nb  0.539  0.692  0.500
Nb  0.692  0.192  0.153
Nb  0.808  0.961  0.500
Nb  0.961  0.461  0.153
B  0.250  0.250  0.000
B  0.750  0.750  0.000

Values from the calculation:
**ΔH_f (0 K)**: -0.07 eV per atom
**Crystal system**: tetragonal
**Symmetry**: I4/mcm, No. 140
**Offset from the most stable computed form**: 0.0 kJ per mole of atoms

=====

[16]
# TaAs2HBr

A relaxed structure of TaAs2HBr (PBE-GGA, Alexandria via LeMat-Bulk).

Cell: 4.971 4.971 5.390 Å, 90.00 90.00 90.00°
Element x y z (fractional)
Ta  0.000  0.000  0.000
As  0.000  0.500  0.000
As  0.500  0.000  0.000
H  0.500  0.500  0.500
Br  0.000  0.000  0.500

Values from the calculation:
**Crystal system**: tetragonal
**Symmetry**: P4/mmm, No. 123
**Offset from the most stable computed form**: 0.0 kJ per mole of atoms

=====

[17]
# Y3TeBr

A relaxed structure of Y3TeBr (PBE-GGA, Alexandria via LeMat-Bulk).

Cell: 5.334 5.334 5.334 Å, 90.00 90.00 90.00°
Element x y z (fractional)
Y  0.000  0.000  0.500
Y  0.000  0.500  0.000
Y  0.500  0.000  0.000
Te  0.500  0.500  0.500
Br  0.000  0.000  0.000

Values from the calculation:
**Crystal system**: cubic
**Raw formation energy**: -5.24 kcal/mol of atoms
**Symmetry**: Pm-3m, No. 221
**Offset from the most stable computed form**: 0.0 kJ per mole of atoms

=====

[18]
# K3Tl4In4

A relaxed structure of K3Tl4In4 (PBE-GGA, Alexandria via LeMat-Bulk).

Cell: 16.429 16.429 4.287 Å, 97.45 97.45 18.83°
Element x y z (fractional)
K  0.000  0.000  0.000
K  0.356  0.356  0.856
K  0.644  0.644  0.144
Tl  0.093  0.093  0.594
Tl  0.260  0.260  0.261
Tl  0.740  0.740  0.739
Tl  0.907  0.907  0.406
In  0.188  0.188  0.689
In  0.453  0.453  0.453
In  0.547  0.547  0.547
In  0.812  0.812  0.311

Values from the calculation:
**ΔH_f (0 K)**: -0.07 eV per atom
**Crystal system**: monoclinic
**Symmetry**: C2/m, No. 12

=====

[19]
# CdBS3

A relaxed structure of CdBS3 (PBE-GGA, Alexandria via LeMat-Bulk).

Cell: 4.298 4.298 4.298 Å, 90.00 90.00 90.00°
Element x y z (fractional)
Cd  0.000  0.000  0.000
B  0.500  0.500  0.500
S  0.000  0.500  0.500
S  0.500  0.000  0.500
S  0.500  0.500  0.000

Values from the calculation:
**Crystal system**: cubic
**Raw formation energy**: 12.91 kcal/mol of atoms
**Symmetry**: Pm-3m, No. 221
**Offset from the most stable computed form**: 68.0 kJ per mole of atoms

=====

[20]
# Ba7Sb2PbO2

A relaxed structure of Ba7Sb2PbO2 (PBE-GGA, Alexandria via LeMat-Bulk).

Cell: 15.174 15.174 15.174 Å, 159.38 159.38 29.32°
Element x y z (fractional)
Ba  0.000  0.000  0.000
Ba  0.096  0.596  0.500
Ba  0.201  0.201  0.000
Ba  0.404  0.904  0.500
Ba  0.596  0.096  0.500
Ba  0.799  0.799  0.000
Ba  0.904  0.404  0.500
Sb  0.320  0.320  0.000
Sb  0.680  0.680  0.000
Pb  0.500  0.500  0.000
O  0.097  0.097  0.000
O  0.903  0.903  0.000

Values from the calculation:
**Crystal system**: tetragonal
**Raw formation energy**: -32.97 kcal/mol of atoms
**Symmetry**: I4/mmm, No. 139

=====

[21]
# Sc2TiAl2Ru5

A relaxed structure of Sc2TiAl2Ru5 (PBE-GGA, Alexandria via LeMat-Bulk).

Cell: 9.819 9.819 3.263 Å, 90.00 90.00 90.00°
Element x y z (fractional)
Sc  0.169  0.331  0.000
Sc  0.331  0.831  0.000
Sc  0.669  0.169  0.000
Sc  0.831  0.669  0.000
Ti  0.000  0.000  0.000
Ti  0.500  0.500  0.000
Al  0.130  0.630  0.000
Al  0.370  0.130  0.000
Al  0.630  0.870  0.000
Al  0.870  0.370  0.000
Ru  0.000  0.500  0.500
Ru  0.069  0.805  0.500
Ru  0.195  0.069  0.500
Ru  0.305  0.569  0.500
Ru  0.431  0.305  0.500
Ru  0.500  0.000  0.500
Ru  0.569  0.695  0.500
Ru  0.695  0.431  0.500
Ru  0.805  0.931  0.500
Ru  0.931  0.195  0.500

Values from the calculation:
**ΔH_f (0 K)**: -0.47 eV per atom
**Crystal system**: tetragonal
**Symmetry**: P4/mbm, No. 127

=====

[22]
# TbUSn

A relaxed structure of TbUSn (PBE-GGA, Alexandria via LeMat-Bulk).

Cell: 8.584 8.584 4.901 Å, 93.26 93.26 25.66°
Element x y z (fractional)
Tb  0.071  0.071  0.256
Tb  0.929  0.929  0.744
U  0.260  0.260  0.672
U  0.740  0.740  0.328
Sn  0.394  0.394  0.233
Sn  0.606  0.606  0.767

Values from the calculation:
**ΔH_f (0 K)**: -0.29 eV per atom
**Crystal system**: monoclinic
**Symmetry**: C2/m, No. 12

=====

| no. | energy (eV for the cell shown) |
| --- | --- |
| 1 | -14.57 |
| 2 | -20.43 |
| 3 | -88.07 |
| 4 | -108.89 |
| 5 | -57.77 |
| 6 | -92.97 |
| 7 | -99.59 |
| 8 | -58.92 |
| 9 | -106.36 |
| 10 | -51.02 |
| 11 | -15.93 |
| 12 | -13.00 |
| 13 | -100.42 |
| 14 | -12.14 |
| 15 | -102.26 |
| 16 | -23.38 |
| 17 | -25.34 |
| 18 | -24.50 |
| 19 | -17.18 |
| 20 | -52.48 |
| 21 | -158.33 |
| 22 | -41.61 |